Computed, not measured: a relaxed structure of AcGaTc at the PBE-GGA level of DFT.

```
AcGaTc
1.0
3.557 0.000 0.000
0.000 3.557 0.000
-1.778 -1.778 5.398
Ac Tc Ga
1 1 1
direct
0.998 0.998 0.996
0.718 0.718 0.435
0.284 0.284 0.568
```

## Properties
Polymorph energy (0 for the lowest one)   0.000 eV/f.u.
E_form   0.01 eV per atom

=====

Computed, not measured: a relaxed structure of AcGa2Tc2 at the PBE-GGA level of DFT.

```
AcGa2Tc2
1.0
-1.939 -3.544 -1.590
1.707 0.814 -3.896
9.124 -4.760 5.410
Ac Ga Tc
2 4 4
direct
0.848 0.598 0.697
0.152 0.402 0.303
0.723 0.973 0.445
0.277 0.027 0.555
0.399 0.149 0.798
0.601 0.851 0.202
0.531 0.281 0.061
0.969 0.219 0.939
0.469 0.719 0.939
0.031 0.781 0.061
```

## Properties
E_form   -0.36 eV per atom

=====

Computed, not measured: a relaxed structure of Ac3Ga7Tc2 at the PBE-GGA level of DFT.

```
Ac3Ga7Tc2
1.0
4.858 0.000 0.000
0.000 4.848 0.000
0.000 -2.424 12.075
Ac Ga Tc
3 7 2
direct
0.500 0.500 0.000
0.500 0.684 0.368
0.500 0.316 0.632
0.000 0.405 0.810
0.000 0.788 0.575
0.000 0.000 0.000
0.000 0.595 0.190
0.500 0.094 0.189
0.500 0.906 0.811
0.000 0.212 0.425
0.000 0.898 0.796
0.000 0.102 0.204
```

## Properties
E_form   -0.43 eV per atom

=====

Computed, not measured: a relaxed structure of AcGa2Tc at the PBE-GGA level of DFT.

```
AcGa2Tc
1.0
-0.720 -0.473 -3.277
0.462 -3.335 0.380
-6.927 -0.774 1.634
Ac Tc Ga
1 1 2
direct
0.500 0.500 0.500
0.500 0.500 0.000
0.000 0.000 0.821
0.000 0.000 0.179
```

## Properties
Polymorph energy (0 for the lowest one)   0.332 eV/f.u.
E_form   -0.15 eV per atom

=====

Computed, not measured: a relaxed structure of AcGa2Tc at the PBE-GGA level of DFT.

```
AcGa2Tc
1.0
4.364 0.000 0.000
2.182 3.779 0.000
2.182 1.260 5.547
Ac Tc Ga
1 1 2
direct
0.500 0.500 0.500
0.000 0.000 0.000
0.705 0.705 0.884
0.295 0.295 0.116
```

## Properties
Polymorph energy (0 for the lowest one)   0.000 eV/f.u.
E_form   -0.24 eV per atom

=====

Computed, not measured: a relaxed structure of Ac2Ga5Tc at the PBE-GGA level of DFT.

```
Ac2Ga5Tc
1.0
6.597 -0.198 -0.282
-3.420 5.645 0.282
-3.420 -1.655 5.404
Ac Ga Tc
2 5 1
direct
0.500 0.240 0.740
0.500 0.740 0.240
0.432 0.702 0.702
0.000 0.702 0.270
0.000 0.270 0.702
0.568 0.270 0.270
0.000 0.279 0.279
0.000 0.018 0.018
```

## Properties
E_form   -0.34 eV per atom

=====

Computed, not measured: a relaxed structure of Ac2Ga4Tc at the PBE-GGA level of DFT.

```
Ac2Ga4Tc
1.0
4.809 0.000 0.000
0.000 4.809 0.000
-2.404 -2.404 8.019
Ac Tc Ga
2 1 4
direct
0.646 0.646 0.291
0.354 0.354 0.709
0.000 0.000 0.000
0.844 0.844 0.689
0.156 0.156 0.311
0.000 0.500 0.000
0.500 0.000 0.000
```

## Properties
E_form   -0.38 eV per atom

=====

Computed, not measured: a relaxed structure of AcGaTc at the PBE-GGA level of DFT.

```
AcGaTc
1.0
4.363 0.137 -0.032
0.116 4.364 -0.032
-2.365 -2.376 8.091
Tc Ac Ga
2 2 2
direct
0.193 0.193 0.568
0.807 0.807 0.432
0.728 0.728 0.747
0.272 0.272 0.253
0.300 0.300 0.883
0.700 0.700 0.117
```

## Properties
Polymorph energy (0 for the lowest one)   0.347 eV/f.u.
E_form   0.13 eV per atom

=====

Computed, not measured: a relaxed structure of AcGa2Te4 at the PBE-GGA level of DFT.

```
AcGa2Te4
1.0
-3.669 -5.533 -1.539
2.647 0.858 6.221
-4.433 5.139 -0.624
Ac Ga Te
1 2 4
direct
0.500 0.500 0.000
0.250 0.750 0.500
0.750 0.250 0.500
0.294 0.155 0.449
0.845 0.294 0.139
0.155 0.706 0.861
0.706 0.845 0.551
```

## Properties
Formation energy without anion corrections   -586 meV/atom

=====

Computed, not measured: a relaxed structure of Ac2GaTe at the PBE-GGA level of DFT.

```
Ac2GaTe
1.0
-0.495 0.021 -4.518
0.672 -3.815 -2.377
-7.892 -3.202 -1.436
Ac Te Ga
2 1 1
direct
0.254 0.254 0.238
0.746 0.746 0.762
0.500 0.500 0.500
0.000 0.000 0.000
```

## Properties
Polymorph energy (0 for the lowest one)   0.213 eV/f.u.
Formation energy without anion corrections   -940 meV/atom

=====

Computed, not measured: a relaxed structure of Ac6GaTe5 at the PBE-GGA level of DFT.

```
Ac6GaTe5
1.0
8.060 -0.118 -1.544
-4.348 6.787 -1.544
0.182 0.326 8.191
Ac Te Ga
6 5 1
direct
0.394 0.079 0.237
0.921 0.606 0.763
0.234 0.234 0.758
0.766 0.766 0.242
0.079 0.394 0.237
0.606 0.921 0.763
0.826 0.174 0.500
0.665 0.335 0.000
0.500 0.500 0.500
0.335 0.665 0.000
0.174 0.826 0.500
0.000 0.000 0.000
```

## Properties
Formation energy without anion corrections   -1365 meV/atom

=====

Computed, not measured: a relaxed structure of Ac3GaTe2 at the PBE-GGA level of DFT.

```
Ac3GaTe2
1.0
6.667 -0.020 0.000
0.028 9.425 0.000
0.000 0.000 14.140
Ac Ga Te
12 4 8
direct
0.250 0.614 0.579
0.250 0.114 0.921
0.250 0.641 0.923
0.250 0.141 0.577
0.249 0.626 0.250
0.249 0.126 0.250
0.751 0.874 0.750
0.751 0.374 0.750
0.750 0.859 0.423
0.750 0.359 0.077
0.750 0.886 0.079
0.750 0.386 0.421
0.249 0.875 0.090
0.249 0.375 0.410
0.751 0.625 0.590
0.751 0.125 0.910
0.251 0.876 0.743
0.251 0.376 0.757
0.250 0.877 0.418
0.250 0.377 0.082
0.750 0.623 0.918
0.750 0.123 0.582
0.749 0.624 0.243
0.749 0.124 0.257
```

## Properties
Polymorph energy (0 for the lowest one)   0.047 eV/f.u.
Formation energy without anion corrections   -1173 meV/atom

=====

Computed, not measured: a relaxed structure of Ac2GaTe3 at the PBE-GGA level of DFT.

```
Ac2GaTe3
1.0
-0.003 -4.300 -0.022
0.676 -0.028 5.398
-9.348 2.165 -1.560
Ac Ga Te
2 1 3
direct
0.643 0.643 0.286
0.357 0.357 0.714
0.000 0.000 0.000
0.000 0.500 0.000
0.827 0.827 0.654
0.173 0.173 0.346
```

## Properties
Formation energy without anion corrections   -1096 meV/atom

=====

Computed, not measured: a relaxed structure of Ac2GaTe at the PBE-GGA level of DFT.

```
Ac2GaTe
1.0
-4.629 -4.342 -5.260
-2.246 -4.598 5.772
-7.283 5.696 1.705
Ac Ga Te
8 4 4
direct
0.500 0.750 0.157
0.000 0.750 0.157
0.000 0.250 0.378
0.000 0.250 0.843
0.000 0.750 0.622
0.500 0.750 0.622
0.500 0.250 0.843
0.500 0.250 0.378
0.750 0.078 0.611
0.250 0.422 0.611
0.250 0.922 0.389
0.750 0.578 0.389
0.250 0.403 0.108
0.250 0.903 0.892
0.750 0.097 0.108
0.750 0.597 0.892
```

## Properties
Polymorph energy (0 for the lowest one)   0.792 eV/f.u.
Formation energy without anion corrections   -796 meV/atom

=====

Computed, not measured: a relaxed structure of Ac5Ga2Te2 at the PBE-GGA level of DFT.

```
Ac5Ga2Te2
1.0
-7.718 -1.886 3.351
-2.533 -3.223 -7.648
-1.012 -8.565 3.945
Ac Ga Te
10 4 4
direct
0.000 0.000 0.000
0.500 0.500 0.000
0.464 0.167 0.734
0.802 0.833 0.734
0.302 0.667 0.734
0.964 0.333 0.734
0.536 0.833 0.266
0.198 0.167 0.266
0.698 0.333 0.266
0.036 0.667 0.266
0.120 0.384 0.000
0.880 0.616 0.000
0.380 0.884 0.000
0.620 0.116 0.000
0.202 0.000 0.597
0.702 0.500 0.597
0.798 0.000 0.403
0.298 0.500 0.403
```

## Properties
Formation energy without anion corrections   -860 meV/atom

=====

Computed, not measured: a relaxed structure of Ac2Ga2Te5 at the PBE-GGA level of DFT.

```
Ac2Ga2Te5
1.0
8.140 0.000 0.000
0.000 7.693 0.000
-4.070 -3.846 10.471
Ac Ga Te
4 4 10
direct
0.144 0.613 0.201
0.856 0.412 0.799
0.557 0.113 0.201
0.443 0.912 0.799
0.000 0.986 0.000
0.500 0.486 0.000
0.170 0.299 0.500
0.830 0.799 0.500
0.246 0.731 0.966
0.754 0.764 0.034
0.220 0.231 0.966
0.780 0.264 0.034
0.222 0.077 0.289
0.778 0.788 0.711
0.567 0.577 0.289
0.433 0.288 0.711
0.149 0.666 0.500
0.851 0.166 0.500
```

## Properties
Formation energy without anion corrections   -865 meV/atom

=====

Computed, not measured: a relaxed structure of AcGa2Te at the PBE-GGA level of DFT.

```
AcGa2Te
1.0
4.000 0.000 0.000
0.000 4.000 0.000
0.000 0.000 6.787
Ac Te Ga
1 1 2
direct
0.500 0.500 0.000
0.500 0.500 0.500
0.000 0.000 0.699
0.000 0.000 0.301
```

## Properties
Polymorph energy (0 for the lowest one)   0.823 eV/f.u.
Formation energy without anion corrections   -373 meV/atom

=====

Computed, not measured: a relaxed structure of Ac3GaTe6 at the PBE-GGA level of DFT.

```
Ac3GaTe6
1.0
-5.942 -3.877 3.027
0.428 -6.713 -7.759
6.299 -4.273 6.893
Ac Ga Te
6 2 12
direct
0.483 0.917 0.719
0.983 0.719 0.917
0.391 0.397 0.603
0.891 0.603 0.397
0.983 0.083 0.281
0.483 0.281 0.083
0.028 0.199 0.801
0.528 0.801 0.199
0.188 0.689 0.632
0.688 0.632 0.689
0.190 0.426 0.904
0.690 0.904 0.426
0.162 0.041 0.959
0.684 0.218 0.782
0.184 0.782 0.218
0.662 0.959 0.041
0.190 0.096 0.574
0.690 0.574 0.096
0.188 0.368 0.311
0.688 0.311 0.368
```

## Properties
Formation energy without anion corrections   -1265 meV/atom

=====

Computed, not measured: a relaxed structure of Ac2GaTe at the PBE-GGA level of DFT.

```
Ac2GaTe
1.0
-4.029 3.580 -1.875
-4.240 -1.945 -3.287
-5.303 -0.329 2.082
Ac Te Ga
2 1 1
direct
0.250 0.250 0.250
0.750 0.750 0.750
0.500 0.500 0.500
0.000 0.000 0.000
```

## Properties
Polymorph energy (0 for the lowest one)   1.057 eV/f.u.
Formation energy without anion corrections   -729 meV/atom

=====

Computed, not measured: a relaxed structure of Ac3GaTe2 at the PBE-GGA level of DFT.

```
Ac3GaTe2
1.0
8.112 0.204 0.352
-1.592 8.025 -0.248
-1.592 -4.194 6.847
Ac Ga Te
6 2 4
direct
0.004 0.193 0.348
0.504 0.348 0.193
0.000 0.500 0.000
0.996 0.807 0.652
0.500 0.000 0.500
0.496 0.652 0.807
0.250 0.590 0.410
0.750 0.410 0.590
0.250 0.918 0.082
0.250 0.242 0.758
0.750 0.082 0.918
0.750 0.758 0.242
```

## Properties
Polymorph energy (0 for the lowest one)   0.000 eV/f.u.
Formation energy without anion corrections   -1181 meV/atom